## P
The following is a DFT calculation (PBE-GGA) of crystalline AlBiH3 at its relaxed geometry.

a = 3.838 Å, b = 3.838 Å, c = 3.838 Å
α = 90.00°, β = 90.00°, γ = 90.00°
Atoms (fractional coordinates):
Al  0.000  0.000  0.000
Bi  0.500  0.500  0.500
H  0.000  0.000  0.500
H  0.000  0.500  0.000
H  0.500  0.000  0.000

Results
space group = No. 221
total moment = 0.000 μB per cell
D(E_F) = 0.43 states/eV/atom

***

## Q
The following is a DFT calculation (PBE-GGA) of crystalline AlBiH3 at its relaxed geometry.

a = 4.273 Å, b = 4.273 Å, c = 4.273 Å
α = 90.00°, β = 90.00°, γ = 90.00°
Atoms (fractional coordinates):
Al  0.000  0.000  0.000
Bi  0.500  0.500  0.500
H  0.000  0.500  0.500
H  0.500  0.000  0.500
H  0.500  0.500  0.000

Results
space group = No. 221
total moment = 0.000 μB per cell
D(E_F) = 0.33 states/eV/atom

***

Which of them is most stable, and which least? Most stable: P; least stable: Q.